Record 1
Material: DyY2TmS6
Method: DFT, PBE-GGA
State: relaxed

The space group is R3 (No. 146, hexagonal axes) and the conventional cell measures 6.8898, 6.8898 and 18.4767 Å, with angles of 90.00, 90.00 and 120.00 degrees. The distinct sites, in fractional coordinates, are Dy at (0.0000, 0.0000, 0.0000), Y at (0.0000, 0.0000, 0.2983), Y at (0.0000, 0.0000, 0.7992), Tm at (0.0000, 0.0000, 0.4987), S at (0.0339, 0.3605, 0.5665) and S at (0.0352, 0.6690, 0.0670).

Record 2
Material: DyY2Tm3S6
Method: DFT, PBE-GGA
State: relaxed

The space group is C2/m (No. 12) and the conventional cell measures 16.900, 3.867 and 7.790 Å, with angles of 90.00, 103.66 and 90.00 degrees. The distinct sites, in fractional coordinates, are Dy at (0.000, 0.000, 0.000), Y at (0.167, 0.500, 0.333), Tm at (0.000, 0.000, 0.500), Tm at (0.167, 0.500, 0.833), S at (0.002, 0.500, 0.747), S at (0.165, 0.000, 0.587) and S at (0.168, 0.000, 0.079).

Record 3
Material: Dy4Y3TmS8
Method: DFT, PBE-GGA
State: relaxed

The space group is R-3m (No. 166, hexagonal axes) and the conventional cell measures 7.8053, 7.8053 and 19.1258 Å, with angles of 90.00, 90.00 and 120.00 degrees. The distinct sites, in fractional coordinates, are Dy at (0.0000, 0.0000, 0.0000), Dy at (0.0000, 0.5000, 0.0000), Y at (0.0000, 0.5000, 0.5000), Tm at (0.0000, 0.0000, 0.5000), S at (0.0000, 0.0000, 0.2504) and S at (0.0036, 0.5018, 0.2495).

Record 4
Material: DyYTm4S8
Method: DFT, PBE-GGA
State: relaxed

The space group is R3m (No. 160, hexagonal axes) and the conventional cell measures 7.9616, 7.9616 and 19.5716 Å, with angles of 90.00, 90.00 and 120.00 degrees. The distinct sites, in fractional coordinates, are Dy at (0.0000, 0.0000, 0.0000), Y at (0.0000, 0.0000, 0.3745), Tm at (0.0000, 0.0000, 0.7489), Tm at (0.1670, 0.3340, 0.2076), S at (0.0000, 0.0000, 0.1338), S at (0.0000, 0.0000, 0.6165), S at (0.0163, 0.5082, 0.1283) and S at (0.1767, 0.3533, 0.9532).

Record 5
Material: Dy3Y2TmS6
Method: DFT, PBE-GGA
State: relaxed

The space group is C2/m (No. 12) and the conventional cell measures 16.975, 3.890 and 7.827 Å, with angles of 90.00, 103.42 and 90.00 degrees. The distinct sites, in fractional coordinates, are Dy at (0.000, 0.000, 0.000), Dy at (0.168, 0.500, 0.333), Y at (0.167, 0.500, 0.834), Tm at (0.000, 0.000, 0.500), S at (0.001, 0.500, 0.255), S at (0.165, 0.000, 0.581) and S at (0.166, 0.000, 0.084).

Record 6
Material: DyY3Tm4S8
Method: DFT, PBE-GGA
State: relaxed

The space group is R-3m (No. 166, hexagonal axes) and the conventional cell measures 7.7462, 7.7462 and 19.0700 Å, with angles of 90.00, 90.00 and 120.00 degrees. The distinct sites, in fractional coordinates, are Dy at (0.0000, 0.0000, 0.0000), Y at (0.0000, 0.5000, 0.0000), Tm at (0.0000, 0.0000, 0.5000), Tm at (0.0000, 0.5000, 0.5000), S at (0.0000, 0.0000, 0.2473) and S at (0.0005, 0.5003, 0.7525).

Record 7
Material: DyTm2ZrS4
Method: DFT, PBE-GGA
State: relaxed

The space group is P2/m (No. 10) and the conventional cell measures 6.607, 3.829 and 6.634 Å, with angles of 90.00, 109.65 and 90.00 degrees. The distinct sites, in fractional coordinates, are Dy at (0.000, 0.000, 0.000), Tm at (0.000, 0.500, 0.500), Tm at (0.500, 0.000, 0.500), Zr at (0.500, 0.500, 0.000), S at (0.254, 0.000, 0.750) and S at (0.255, 0.500, 0.253).

Record 8
Material: DyU6S8
Method: DFT, PBE-GGA
State: relaxed

The space group is R-3 (No. 148, hexagonal axes) and the conventional cell measures 8.4340, 8.4340 and 15.5375 Å, with angles of 90.00, 90.00 and 120.00 degrees. The distinct sites, in fractional coordinates, are Dy at (0.0000, 0.0000, 0.0000), U at (0.0164, 0.4231, 0.0635), S at (0.0000, 0.0000, 0.3158) and S at (0.0251, 0.7488, 0.0980).

For the relative energy among the computed polymorphs, the calculation gives 3.659 eV/f.u.

Record 9
Material: Dy4US5
Method: DFT, PBE-GGA
State: relaxed

The space group is I4/mmm (No. 139) and the conventional cell measures 3.895, 3.895 and 27.555 Å, with angles of 90.00, 90.00 and 90.00 degrees. The distinct sites, in fractional coordinates, are Dy at (0.000, 0.000, 0.099), Dy at (0.000, 0.000, 0.302), U at (0.000, 0.000, 0.500), S at (0.000, 0.000, 0.000), S at (0.000, 0.000, 0.201) and S at (0.000, 0.000, 0.400).

Record 10
Material: Dy6US8
Method: DFT, PBE-GGA
State: relaxed

The space group is Fm-3m (No. 225) and the conventional cell measures 11.029, 11.029 and 11.029 Å, with angles of 90.00, 90.00 and 90.00 degrees. The distinct sites, in fractional coordinates, are Dy at (0.000, 0.250, 0.250), U at (0.000, 0.000, 0.000), S at (0.000, 0.000, 0.252) and S at (0.250, 0.250, 0.250).

Record 11
Material: DyU2S3
Method: DFT, PBE-GGA
State: relaxed

The space group is P2_1/c (No. 14) and the conventional cell measures 5.486, 11.645 and 7.737 Å, with angles of 90.00, 90.11 and 90.00 degrees. The distinct sites, in fractional coordinates, are Dy at (0.250, 0.082, 0.126), U at (0.249, 0.084, 0.622), U at (0.251, 0.749, 0.624), S at (0.249, 0.248, 0.874), S at (0.250, 0.583, 0.374) and S at (0.251, 0.584, 0.875).

Record 12
Material: DyUS
Method: DFT, PBE-GGA
State: relaxed

The space group is R-3m (No. 166, hexagonal axes) and the conventional cell measures 3.8370, 3.8370 and 42.7166 Å, with angles of 90.00, 90.00 and 120.00 degrees. The distinct sites, in fractional coordinates, are Dy at (0.0000, 0.0000, 0.0905), U at (0.0000, 0.0000, 0.3483) and S at (0.0000, 0.0000, 0.2117).

Number 1: total magnetization 0.000 μB/f.u., uncorrected formation energy -2.06 eV per atom. Number 2: total magnetization 0.000 μB/f.u., uncorrected formation energy -1.96 eV per atom. Number 3: total magnetization 0.000 μB/f.u., uncorrected formation energy -1.98 eV per atom. Number 4: total magnetization 0.000 μB/f.u., uncorrected formation energy -1.92 eV per atom. Number 5: total magnetization 0.000 μB/f.u., uncorrected formation energy -1.98 eV per atom. Number 6: total magnetization 0.000 μB/f.u., uncorrected formation energy -1.96 eV per atom. Number 7: total magnetization 0.000 μB/f.u., uncorrected formation energy -1.80 eV per atom. Number 8: total magnetization 5.201 μB/f.u., uncorrected formation energy -1.23 eV per atom. Number 9: total magnetization 2.355 μB/f.u., uncorrected formation energy -1.87 eV per atom. Number 10: total magnetization 3.696 μB/f.u., uncorrected formation energy -1.91 eV per atom. Number 11: total magnetization 4.636 μB/f.u., uncorrected formation energy -1.57 eV per atom. Number 12: total magnetization 0.002 μB/f.u., uncorrected formation energy -0.63 eV per atom.